Record 1
The following is a GGA-PBE calculation of a relaxed AcDyGeRh crystal, from Alexandria via LeMat-Bulk.

abc: 4.715 4.715 10.245
angles: 90.00 90.00 90.00
Atoms (fractional coordinates):
Ac: 0.000 0.500 0.823
Ac: 0.500 0.000 0.177
Dy: 0.000 0.000 0.500
Dy: 0.500 0.500 0.500
Ge: 0.500 0.000 0.877
Ge: 0.000 0.500 0.123
Rh: 0.000 0.500 0.355
Rh: 0.500 0.000 0.645

ρ   8.240 g/cm³
Energy relative to the elements   -0.60 eV per atom
DFT total energy   -5.770 eV/atom
Space group   No. 129

Record 2
The following is a GGA-PBE calculation of a relaxed AcDyGeRu crystal, from Alexandria via LeMat-Bulk.

abc: 5.173 5.173 5.173
angles: 60.00 60.00 60.00
Atoms (fractional coordinates):
Ru: 0.750 0.750 0.750
Ac: 0.500 0.500 0.500
Ge: 0.250 0.250 0.250
Dy: 0.000 0.000 0.000

ρ   9.553 g/cm³
Energy relative to the elements   -0.25 eV per atom
DFT total energy   -5.901 eV/atom
Space group   No. 216

Record 3
The following is a GGA-PBE calculation of a relaxed AcDySiGe crystal, from Alexandria via LeMat-Bulk.

abc: 5.267 5.267 5.267
angles: 60.00 60.00 60.00
Atoms (fractional coordinates):
Ac: 0.000 0.000 0.000
Si: 0.750 0.750 0.750
Ge: 0.250 0.250 0.250
Dy: 0.500 0.500 0.500

ρ   7.881 g/cm³
DFT total energy   -5.102 eV/atom
Space group   No. 216

Copy entry 3 word for word.
The following is a GGA-PBE calculation of a relaxed AcDySiGe crystal, from Alexandria via LeMat-Bulk.

abc: 5.267 5.267 5.267
angles: 60.00 60.00 60.00
Atoms (fractional coordinates):
Ac: 0.000 0.000 0.000
Si: 0.750 0.750 0.750
Ge: 0.250 0.250 0.250
Dy: 0.500 0.500 0.500

ρ   7.881 g/cm³
DFT total energy   -5.102 eV/atom
Space group   No. 216

Which value of ρ does entry 1 give?
8.240 g/cm³

Which value of ρ does entry 1 give?
8.240 g/cm³

DFT total energy of number 3 (AcDySiGe)?
-5.102 eV/atom